(1)
Below is an optimized crystal structure of ScFeSb, with properties calculated at the GGA-PBE level.

ΔE_f (raw): -115 kJ/mol of formula units
space group: Cm, No. 8

a = 7.0152 Å, b = 4.1026 Å, c = 8.4025 Å
α = 90.00°, β = 114.38°, γ = 90.00°
With the nearest neighbours (Å) after each atom.
Element x y z (fractional)
Sb 0.2299 0.5000 0.0547  3 Fe 2.66, 3 Sc 2.94-2.98
Fe 0.9926 0.0000 0.8818  1 Fe 2.43, 3 Sc 2.45-2.70, 2 Sb 2.66
Fe 0.6419 0.5000 0.1502  1 Fe 2.43, 4 Sb 2.63-2.66, 2 Sc 2.67
Sc 0.4484 0.5000 0.4428  2 Fe 2.67, 3 Sb 2.94-2.98
Sb 0.7091 0.0000 0.3630  5 Fe 2.63-2.82, 1 Sc 2.94
Sb 0.2299 0.0000 0.5547  3 Fe 2.66, 3 Sc 2.94-2.98
Sc 0.9697 0.5000 0.6649  3 Fe 2.45-2.70
Sb 0.7091 0.5000 0.8630  5 Fe 2.63-2.82, 1 Sc 2.94
Sc 0.4484 0.0000 0.9428  2 Fe 2.67, 3 Sb 2.94-2.98
Fe 0.9926 0.5000 0.3818  1 Fe 2.43, 3 Sc 2.45-2.70, 2 Sb 2.66
Sc 0.9697 0.0000 0.1649  3 Fe 2.45-2.70
Fe 0.6419 0.0000 0.6502  1 Fe 2.43, 4 Sb 2.63-2.66, 2 Sc 2.67

(2)
Below is an optimized crystal structure of PrZnHg2, with properties calculated at the GGA-PBE level.

ΔE to the lowest computed polymorph: 1 meV/atom
E_form: -0.33 eV/atom
space group: Fm-3m, No. 225

a = 5.1358 Å, b = 5.1358 Å, c = 5.1358 Å
α = 60.00°, β = 60.00°, γ = 60.00°
With the nearest neighbours (Å) after each atom.
Element x y z (fractional)
Pr 0.0000 0.0000 0.0000  8 Hg 3.15
Zn 0.5000 0.5000 0.5000  8 Hg 3.15
Hg 0.7500 0.7500 0.7500  4 Pr 3.15, 4 Zn 3.15
Hg 0.2500 0.2500 0.2500  4 Pr 3.15, 4 Zn 3.15

(3)
Below is an optimized crystal structure of CrNi7As2P2, with properties calculated at the GGA-PBE level.

E_form: -0.20 eV/atom
space group: C2/m, No. 12

a = 3.4861 Å, b = 3.4861 Å, c = 13.8731 Å
α = 82.84°, β = 82.84°, γ = 90.01°
With the nearest neighbours (Å) after each atom.
Element x y z (fractional)
Ni 0.5669 0.0669 0.8642  2 P 2.21, 4 Ni 2.46-2.47
Ni 0.4331 0.9331 0.1358  2 P 2.21, 4 Ni 2.46-2.47
P 0.6163 0.6163 0.7643  5 Ni 2.18-2.21
P 0.3837 0.3837 0.2357  5 Ni 2.18-2.21
Ni 0.5000 0.5000 0.0000  4 Cr 2.46-2.47, 8 Ni 2.54-2.55
Ni 0.6969 0.6969 0.6044  1 P 2.18, 1 As 2.41
As 0.7867 0.7867 0.4283  5 Ni 2.41-2.51
As 0.2133 0.2133 0.5717  5 Ni 2.41-2.51
Cr 0.0000 0.0000 0.0000  12 Ni 2.46-2.55
Ni 0.0669 0.5669 0.8642  2 P 2.21, 4 Ni 2.46-2.47
Ni 0.9331 0.4331 0.1358  2 P 2.21, 4 Ni 2.46-2.47
Ni 0.3031 0.3031 0.3956  1 P 2.18, 1 As 2.41

(4)
Below is an optimized crystal structure of Sm12DyTl3, with properties calculated at the GGA-PBE level.

E_form: -0.14 eV/atom
space group: P4/mmm, No. 123

a = 4.9475 Å, b = 4.9475 Å, c = 20.2244 Å
α = 90.00°, β = 90.00°, γ = 90.00°
With the nearest neighbours (Å) after each atom.
Element x y z (fractional)
Sm 0.0000 0.5000 0.1300  8 Sm 3.50-3.61, 2 Tl 3.56, 2 Dy 3.61
Sm 0.5000 0.0000 0.1300  8 Sm 3.50-3.61, 2 Tl 3.56, 2 Dy 3.61
Tl 0.0000 0.0000 0.7435  12 Sm 3.47-3.56
Sm 0.5000 0.0000 0.8700  8 Sm 3.50-3.61, 2 Tl 3.56, 2 Dy 3.61
Sm 0.5000 0.5000 0.0000  4 Dy 3.50, 8 Sm 3.61
Sm 0.5000 0.0000 0.6232  4 Tl 3.47-3.51, 8 Sm 3.50-3.51
Dy 0.0000 0.0000 0.0000  12 Sm 3.50-3.61
Sm 0.0000 0.5000 0.8700  8 Sm 3.50-3.61, 2 Tl 3.56, 2 Dy 3.61
Tl 0.0000 0.0000 0.2565  12 Sm 3.47-3.56
Sm 0.5000 0.0000 0.3768  4 Tl 3.47-3.51, 8 Sm 3.50-3.51
Tl 0.0000 0.0000 0.5000  12 Sm 3.50-3.51
Sm 0.5000 0.5000 0.2539  4 Tl 3.50, 8 Sm 3.51-3.52
Sm 0.0000 0.5000 0.6232  4 Tl 3.47-3.51, 8 Sm 3.50-3.51
Sm 0.5000 0.5000 0.7461  4 Tl 3.50, 8 Sm 3.51-3.52
Sm 0.0000 0.5000 0.3768  4 Tl 3.47-3.51, 8 Sm 3.50-3.51
Sm 0.5000 0.5000 0.5000  4 Tl 3.50, 8 Sm 3.51

(5)
Below is an optimized crystal structure of CuSbAu3, with properties calculated at the GGA-PBE level.

ΔE to the lowest computed polymorph: 323 meV/atom
ΔE_f (raw): 216 kJ/mol of formula units
space group: Pm-3m, No. 221

a = 4.7924 Å, b = 4.7924 Å, c = 4.7924 Å
α = 90.00°, β = 90.00°, γ = 90.00°
With the nearest neighbours (Å) after each atom.
Element x y z (fractional)
Au 0.5000 0.0000 0.0000  2 Cu 2.40
Au 0.0000 0.0000 0.5000  2 Cu 2.40
Au 0.0000 0.5000 0.0000  2 Cu 2.40
Sb 0.5000 0.5000 0.5000  12 Au 3.39
Cu 0.0000 0.0000 0.0000  6 Au 2.40

(6)
Below is an optimized crystal structure of La5Ni2Bi, with properties calculated at the GGA-PBE level.

E_form: -0.42 eV/atom
space group: I4/mcm, No. 140

a = 8.1504 Å, b = 8.1504 Å, c = 9.0517 Å
α = 116.76°, β = 116.76°, γ = 90.00°
With the nearest neighbours (Å) after each atom.
Element x y z (fractional)
La 0.2892 0.7892 0.2695  3 Ni 3.00-3.10
La 0.7892 0.9803 0.2695  3 Ni 3.00-3.10
La 0.0000 0.0000 0.0000  4 Ni 3.19, 2 Bi 3.49
Ni 0.8683 0.6317 0.0000  8 La 3.00-3.19, 1 Ni 3.04
La 0.0197 0.5197 0.7305  3 Ni 3.00-3.10
La 0.9803 0.4803 0.2695  3 Ni 3.00-3.10
Bi 0.2500 0.2500 0.5000  10 La 3.48-3.49
La 0.5000 0.5000 0.0000  4 Ni 3.19, 2 Bi 3.49
Bi 0.7500 0.7500 0.5000  10 La 3.48-3.49
Ni 0.1317 0.3683 0.0000  8 La 3.00-3.19, 1 Ni 3.04
Ni 0.3683 0.8683 0.0000  8 La 3.00-3.19, 1 Ni 3.04
La 0.7108 0.2108 0.7305  3 Ni 3.00-3.10
La 0.5197 0.7108 0.7305  3 Ni 3.00-3.10
La 0.4803 0.2892 0.2695  3 Ni 3.00-3.10
La 0.2108 0.0197 0.7305  3 Ni 3.00-3.10
Ni 0.6317 0.1317 0.0000  8 La 3.00-3.19, 1 Ni 3.04

(7)
Below is an optimized crystal structure of Tl2CrCl, with properties calculated at the GGA-PBE level.

ΔE to the lowest computed polymorph: 65 meV/atom
ΔE_f (raw): -6 kJ/mol of formula units
space group: P1, No. 1

a = 5.3097 Å, b = 5.9804 Å, c = 8.1378 Å
α = 87.41°, β = 72.59°, γ = 65.45°
With the nearest neighbours (Å) after each atom.
Element x y z (fractional)
Cr 0.6223 0.7928 0.7043  2 Cl 2.41
Cl 0.0445 0.4378 0.5422  2 Cr 2.41-2.50
Cl 0.7357 0.0650 0.4977  2 Cr 2.41-2.50
Tl 0.0092 0.9014 0.8702  3 Cr 2.92-3.05
Tl 0.2826 0.1552 0.0886  2 Cr 3.13-3.42, 5 Tl 3.30-3.49
Tl 0.6570 0.4929 0.9946  1 Cr 2.90
Tl 0.4251 0.7356 0.3975  2 Cr 3.06-3.40, 3 Cl 3.17-3.30, 1 Tl 3.30
Cr 0.3524 0.3842 0.7339  2 Cl 2.50

(8)
Below is an optimized crystal structure of TmMgNb2N4, with properties calculated at the GGA-PBE level.

ΔE_f (raw): -929 kJ/mol of formula units
space group: P2/m, No. 10

a = 3.1553 Å, b = 5.4380 Å, c = 5.6419 Å
α = 108.77°, β = 90.00°, γ = 90.00°
With the nearest neighbours (Å) after each atom.
Element x y z (fractional)
Mg 0.0000 0.0000 0.0000  6 N 2.25-2.27
Nb 0.0000 0.5000 0.5000  6 N 2.25-2.26
Tm 0.5000 0.5000 0.0000  6 N 2.31
N 0.0000 0.7622 0.2601  3 Nb 2.21-2.26, 1 Mg 2.25, 2 Tm 2.31
N 0.5000 0.7539 0.7414  3 Nb 2.20-2.25, 2 Mg 2.27, 1 Tm 2.31
Nb 0.5000 0.0000 0.5000  6 N 2.20-2.21
N 0.0000 0.2378 0.7399  3 Nb 2.21-2.26, 1 Mg 2.25, 2 Tm 2.31
N 0.5000 0.2461 0.2586  3 Nb 2.20-2.25, 2 Mg 2.27, 1 Tm 2.31

(9)
Below is an optimized crystal structure of Th2B10Ir, with properties calculated at the GGA-PBE level.

E_form: -0.62 eV/atom
space group: Pbam, No. 55

a = 4.2113 Å, b = 5.7357 Å, c = 11.4662 Å
α = 90.00°, β = 90.00°, γ = 90.00°
With the nearest neighbours (Å) after each atom.
Element x y z (fractional)
B 0.6978 0.7827 0.8809  4 B 1.67-1.81
B 0.0000 0.6175 0.9567  4 B 1.67-1.81
B 0.6978 0.2173 0.1191  4 B 1.67-1.81
Ir 0.0000 0.5000 0.5000  8 B 2.24-2.25
B 0.0000 0.1175 0.5433  4 B 1.67-1.81
B 0.3022 0.7827 0.8809  4 B 1.67-1.81
B 0.0000 0.6369 0.8026  5 B 1.67-1.77
B 0.0000 0.8825 0.4567  4 B 1.67-1.81
B 0.0000 0.4456 0.6933  4 B 1.67-1.79
Th 0.5000 0.7039 0.1357  20 B 2.92-3.07, 2 Ir 3.12
Th 0.5000 0.7961 0.6357  20 B 2.92-3.07, 2 Ir 3.12
B 0.3022 0.7173 0.3809  4 B 1.67-1.81
B 0.6978 0.7173 0.3809  4 B 1.67-1.81
B 0.3022 0.2173 0.1191  4 B 1.67-1.81
B 0.3022 0.2827 0.6191  4 B 1.67-1.81
B 0.0000 0.1369 0.6974  5 B 1.67-1.77
B 0.6978 0.2827 0.6191  4 B 1.67-1.81
Th 0.5000 0.2039 0.3643  20 B 2.92-3.07, 2 Ir 3.12
Ir 0.0000 0.0000 0.0000  8 B 2.24-2.25
B 0.0000 0.8631 0.3026  5 B 1.67-1.77
B 0.0000 0.3631 0.1974  5 B 1.67-1.77
B 0.0000 0.0544 0.1933  4 B 1.67-1.79
B 0.0000 0.5544 0.3067  4 B 1.67-1.79
B 0.0000 0.3825 0.0433  4 B 1.67-1.81
B 0.0000 0.9456 0.8067  4 B 1.67-1.79
Th 0.5000 0.2961 0.8643  20 B 2.92-3.07, 2 Ir 3.12

(10)
Below is an optimized crystal structure of BaInSi2Mo, with properties calculated at the GGA-PBE level.

ΔE_f (raw): 1017 kJ/mol of formula units
space group: P4/mmm, No. 123

a = 5.6755 Å, b = 5.5596 Å, c = 5.6755 Å
α = 90.00°, β = 90.00°, γ = 90.00°
With the nearest neighbours (Å) after each atom.
Element x y z (fractional)
Ba 0.0000 0.0000 0.0000  2 Mo 2.78, 4 Si 2.84
Si 0.5000 0.0000 0.0000  2 Ba 2.84
Mo 0.0000 0.5000 0.0000  2 Ba 2.78
Si 0.0000 0.0000 0.5000  2 Ba 2.84
In 0.5000 0.5000 0.5000  8 Si 3.97, 4 Mo 4.01

Calculated density values, unit g/cm³, following the record order: 6.711; 10.531; 6.750; 8.654; 11.710; 7.312; 7.379; 7.882; 9.166; 3.749.